CeScAg2 | PBE | relaxed

Cell lengths 7.2039, 7.2039, 7.2039 Å; angles 90.00, 90.00, 90.00 degrees
Space group Fm-3m (No. 225)
Inequivalent atoms, fractional coordinates:
1 Ce 0.0000 0.0000 0.0000 (multiplicity 4)
2 Sc 0.0000 0.0000 0.5000 (multiplicity 4)
3 Ag 0.2500 0.2500 0.2500 (multiplicity 8)

As for the total energy: -4.61 eV per atom. Its energy of formation from the pure elements is -0.45 eV/f.u. Its volume is 373.9 Å³ per cell. The energy above the lowest structure with this stoichiometry comes out at 0.059 eV per atom.